The following is a DFT calculation (GGA-PBEsol) of a relaxed SbOsN2 crystal.

```
data_SbOsN2
_space_group_name_H-M_alt 'P 1'
_space_group_IT_number 1
_cell_length_a 5.230
_cell_length_b 5.772
_cell_length_c 5.230
_cell_angle_alpha 63.06
_cell_angle_beta 90.00
_cell_angle_gamma 116.94
loop_
_space_group_symop_operation_xyz
'x,y,z'
loop_
_atom_site_label
_atom_site_type_symbol
_atom_site_fract_x
_atom_site_fract_y
_atom_site_fract_z
_atom_site_occupancy
Sb1 Sb 0.250 0.500 0.250 1
Sb2 Sb 0.500 0.000 0.500 1
Os1 Os 0.750 0.500 0.750 1
Os2 Os 0.000 0.000 0.000 1
N1 N 0.038 0.750 0.875 1
N2 N 0.712 0.750 0.375 1
N3 N 0.375 0.250 0.038 1
N4 N 0.875 0.250 0.712 1
```

Results
Raw formation energy = 0.7095 eV per atom
Fermi-level density of states = 0.6361 states/eV per atom
Total magnetization = 0.00 μB/f.u.
Symmetry = No. 122